(1)
Density functional theory data (PBE) for a relaxed structure of TaPtCl2.

abc: 5.029 5.029 2.947
angles: 90.00 90.00 110.34
Element x y z (fractional)
Ta 0.000 0.000 0.000
Pt 0.500 0.500 0.000
Cl 0.000 0.500 0.500
Cl 0.500 0.000 0.500

Output
SG = Cmmm
E above lowest polymorph = 5.226 eV/f.u.
formation energy from raw total energies = 0.643 eV per atom

(2)
Density functional theory data (PBE) for a relaxed structure of Th8Ge4SbSe3.

abc: 8.599 8.599 8.599
angles: 60.23 60.23 60.23
Element x y z (fractional)
Th 0.246 0.246 0.246
Th 0.251 0.742 0.742
Th 0.258 0.258 0.749
Th 0.258 0.749 0.258
Th 0.742 0.251 0.742
Th 0.742 0.742 0.251
Th 0.749 0.258 0.258
Th 0.754 0.754 0.754
Ge 0.000 0.000 0.500
Ge 0.000 0.500 0.000
Ge 0.500 0.000 0.000
Ge 0.500 0.500 0.500
Sb 0.000 0.000 0.000
Se 0.000 0.500 0.500
Se 0.500 0.000 0.500
Se 0.500 0.500 0.000

Output
SG = R-3m
formation energy from raw total energies = -1.126 eV per atom

(3)
Density functional theory data (PBE) for a relaxed structure of NaMg2Mn.

abc: 4.962 4.962 4.962
angles: 60.00 60.00 60.00
Element x y z (fractional)
Na 0.000 0.000 0.000
Mg 0.250 0.250 0.250
Mg 0.750 0.750 0.750
Mn 0.500 0.500 0.500

Output
SG = Fm-3m
E above lowest polymorph = 0.000 eV/f.u.
formation energy from the elements = 0.34 eV per atom

(4)
Density functional theory data (PBE) for a relaxed structure of Er12H5Pt3.

abc: 12.981 12.981 12.981
angles: 109.47 109.47 109.47
Element x y z (fractional)
Er 0.023 0.214 0.119
Er 0.023 0.309 0.905
Er 0.095 0.619 0.404
Er 0.095 0.977 0.691
Er 0.096 0.714 0.691
Er 0.096 0.881 0.405
Er 0.119 0.023 0.214
Er 0.119 0.595 0.904
Er 0.191 0.214 0.596
Er 0.191 0.477 0.595
Er 0.214 0.119 0.023
Er 0.214 0.596 0.191
Er 0.286 0.309 0.904
Er 0.286 0.477 0.381
Er 0.309 0.904 0.286
Er 0.309 0.905 0.023
Er 0.381 0.286 0.477
Er 0.381 0.596 0.905
Er 0.404 0.095 0.619
Er 0.404 0.809 0.786
Er 0.405 0.096 0.881
Er 0.405 0.809 0.523
Er 0.477 0.381 0.286
Er 0.477 0.595 0.191
Er 0.523 0.405 0.809
Er 0.523 0.619 0.714
Er 0.595 0.191 0.477
Er 0.595 0.904 0.119
Er 0.596 0.191 0.214
Er 0.596 0.905 0.381
Er 0.619 0.404 0.095
Er 0.619 0.714 0.523
Er 0.691 0.095 0.977
Er 0.691 0.096 0.714
Er 0.714 0.523 0.619
Er 0.714 0.691 0.096
Er 0.786 0.404 0.809
Er 0.786 0.881 0.977
Er 0.809 0.523 0.405
Er 0.809 0.786 0.404
Er 0.881 0.405 0.096
Er 0.881 0.977 0.786
Er 0.904 0.119 0.595
Er 0.904 0.286 0.309
Er 0.905 0.023 0.309
Er 0.905 0.381 0.596
Er 0.977 0.691 0.095
Er 0.977 0.786 0.881
H 0.000 0.000 0.000
H 0.000 0.000 0.500
H 0.000 0.500 0.000
H 0.000 0.500 0.500
H 0.125 0.750 0.875
H 0.125 0.875 0.250
H 0.250 0.125 0.875
H 0.250 0.625 0.375
H 0.375 0.250 0.625
H 0.375 0.625 0.750
H 0.500 0.000 0.000
H 0.500 0.000 0.500
H 0.500 0.500 0.000
H 0.500 0.500 0.500
H 0.625 0.375 0.250
H 0.625 0.750 0.375
H 0.750 0.375 0.625
H 0.750 0.875 0.125
H 0.875 0.125 0.750
H 0.875 0.250 0.125
Pt 0.125 0.250 0.375
Pt 0.125 0.375 0.750
Pt 0.250 0.375 0.125
Pt 0.250 0.875 0.625
Pt 0.375 0.125 0.250
Pt 0.375 0.750 0.125
Pt 0.625 0.250 0.875
Pt 0.625 0.875 0.750
Pt 0.750 0.125 0.375
Pt 0.750 0.625 0.875
Pt 0.875 0.625 0.250
Pt 0.875 0.750 0.625

Output
SG = Ia-3d

(5)
Density functional theory data (PBE) for a relaxed structure of YNi3.

abc: 3.698 3.698 5.810
angles: 90.00 90.00 120.00
Element x y z (fractional)
Y 0.000 0.000 0.000
Ni 0.000 0.000 0.500
Ni 0.667 0.333 0.302
Ni 0.667 0.333 0.698

Output
SG = P-6m2
formation energy from the elements = 0.18 eV per atom

(6)
Density functional theory data (PBE) for a relaxed structure of La3InGe.

abc: 5.991 7.169 9.260
angles: 111.42 90.30 114.34
Element x y z (fractional)
La 0.120 0.238 0.400
La 0.341 0.685 0.867
La 0.380 0.757 0.248
La 0.620 0.243 0.752
La 0.659 0.315 0.133
La 0.880 0.762 0.600
In 0.105 0.207 0.954
In 0.895 0.793 0.046
Ge 0.368 0.740 0.562
Ge 0.632 0.260 0.438

Output
SG = P-1
E above lowest polymorph = 0.597 eV/f.u.
formation energy from the elements = -0.50 eV per atom

(7)
Density functional theory data (PBE) for a relaxed structure of Hf2Ga2Au.

abc: 6.620 6.620 4.170
angles: 90.00 90.00 90.00
Element x y z (fractional)
Hf 0.166 0.334 0.000
Hf 0.334 0.834 0.000
Hf 0.666 0.166 0.000
Hf 0.834 0.666 0.000
Ga 0.134 0.634 0.500
Ga 0.366 0.134 0.500
Ga 0.634 0.866 0.500
Ga 0.866 0.366 0.500
Au 0.000 0.000 0.500
Au 0.500 0.500 0.500

Output
SG = P4/mbm
E above lowest polymorph = 0.000 eV/f.u.
formation energy from the elements = -0.52 eV per atom

(8)
Density functional theory data (PBE) for a relaxed structure of Mg2ZnW.

abc: 2.771 4.701 5.312
angles: 90.00 97.69 90.00
Element x y z (fractional)
Mg 0.192 0.000 0.241
Mg 0.808 0.000 0.759
Zn 0.000 0.500 0.500
W 0.500 0.500 0.000

Output
SG = P2/m
formation energy from the elements = 0.38 eV per atom

(9)
Density functional theory data (PBE) for a relaxed structure of V2Fe2Rh3.

abc: 9.056 9.056 2.651
angles: 90.00 90.00 155.26
Element x y z (fractional)
V 0.078 0.922 0.000
V 0.922 0.078 0.000
Fe 0.215 0.785 0.000
Fe 0.785 0.215 0.000
Rh 0.347 0.653 0.500
Rh 0.500 0.500 0.500
Rh 0.653 0.347 0.500

Output
SG = Cmmm
formation energy from the elements = -0.17 eV per atom

(10)
Density functional theory data (PBE) for a relaxed structure of Rb2PtPbBr6.

abc: 7.915 7.915 7.915
angles: 120.13 120.13 89.78
Element x y z (fractional)
Rb 0.250 0.750 0.500
Rb 0.750 0.250 0.500
Pt 0.000 0.000 0.000
Pb 0.500 0.500 0.000
Br 0.235 0.235 0.470
Br 0.235 0.765 0.000
Br 0.236 0.236 0.000
Br 0.764 0.764 0.000
Br 0.765 0.235 0.000
Br 0.765 0.765 0.530

Output
SG = I4/mmm
formation energy from raw total energies = -0.949 eV per atom

(11)
Density functional theory data (PBE) for a relaxed structure of Sm6Ni2Rh.

abc: 8.394 8.394 8.394
angles: 110.14 109.32 108.95
Element x y z (fractional)
Sm 0.059 0.818 0.241
Sm 0.171 0.314 0.485
Sm 0.171 0.686 0.857
Sm 0.327 0.090 0.763
Sm 0.327 0.564 0.237
Sm 0.423 0.182 0.241
Sm 0.577 0.818 0.759
Sm 0.673 0.436 0.763
Sm 0.673 0.910 0.237
Sm 0.829 0.314 0.143
Sm 0.829 0.686 0.515
Sm 0.941 0.182 0.759
Ni 0.172 0.672 0.500
Ni 0.382 0.500 0.882
Ni 0.618 0.500 0.118
Ni 0.828 0.328 0.500
Rh 0.000 0.000 0.000
Rh 0.500 0.000 0.500

Output
SG = Immm
formation energy from the elements = -0.33 eV per atom

no.,total energy (eV/atom)
1,-4.753
2,-6.901
3,-3.082
4,-5.049
5,-5.775
6,-4.923
7,-6.363
8,-3.978
9,-8.342
10,-3.121
11,-5.578